A relaxed structure of Pm4NdPa3N8. Source: the Alexandria database, functional GGA-PBE.

Total magnetic moment (μB per cell): 0.00
V (Å³ per cell): 773.6
Formation energy from raw total energies (eV per atom): -1.57
VASP energy (eV per atom): -8.997

Cell: 7.1480 7.1480 17.4838 Å, 90.00 90.00 120.00°
Space group R-3m (No. 166, hexagonal axes)
Inequivalent atoms, fractional coordinates:
Pm 0.0000 0.0000 0.0000 (multiplicity 3)
Pm 0.0000 0.5000 0.0000 (multiplicity 9)
Nd 0.0000 0.0000 0.5000 (multiplicity 3)
Pa 0.0000 0.5000 0.5000 (multiplicity 9)
N 0.0000 0.0000 0.2394 (multiplicity 6)
N 0.0203 0.5101 0.7589 (multiplicity 18)